Entry 1:
OsIO3 | PBE | optimized geometry

Values from the calculation:
**M_tot**: 0.0 Bohr magnetons per cell
**Space group**: Pm-3m, No. 221
**Final energy**: -28.1 eV/f.u.

Geometry as POSCAR:
```
OsIO3
1.0
-1.1027 -3.8075 0.3333
3.7772 -1.1386 -0.5102
0.5837 0.1751 3.9310
I Os O
1 1 3
direct
0.5000 0.5000 0.5000 I
0.0000 0.0000 0.0000 Os
0.0000 0.5000 0.0000 O
0.0000 0.0000 0.5000 O
0.5000 0.0000 0.0000 O
```

Entry 2:
OsI2O2 | PBE | optimized geometry

Values from the calculation:
**M_tot**: 2.6 Bohr magnetons per cell
**Space group**: P4/mmm, No. 123
**Energy above the most stable polymorph in this dataset**: 819 meV/atom
**Final energy**: -19.3 eV/f.u.

Geometry as POSCAR:
```
OsI2O2
1.0
-1.6039 -2.5026 -2.6896
-1.9380 -1.9168 2.9392
-6.3303 5.0225 -0.8984
I Os O
2 1 2
direct
0.0000 0.0000 0.0000 I
0.0000 0.0000 0.5000 I
0.5000 0.5000 0.5000 Os
0.0000 0.5000 0.0000 O
0.5000 0.0000 0.0000 O
```

Entry 3:
Os2IO | PBE | optimized geometry

Values from the calculation:
**M_tot**: 0.0 Bohr magnetons per cell
**Space group**: I-42d, No. 122
**Energy above the most stable polymorph in this dataset**: 0 meV/atom
**Final energy**: -26.0 eV/f.u.

Geometry as POSCAR:
```
Os2IO
1.0
-3.9970 0.2654 2.2087
-2.0839 -2.0365 -3.5264
-1.8779 -6.9883 2.1785
I Os O
2 4 2
direct
0.0000 0.0000 0.0000 I
0.7500 0.2500 0.5000 I
0.4883 0.1250 0.2500 Os
0.2617 0.6250 0.2500 Os
0.3750 0.5117 0.7500 Os
0.8750 0.7383 0.7500 Os
0.5000 0.5000 0.0000 O
0.2500 0.7500 0.5000 O
```

Entry 4:
OsIO2 | PBE | optimized geometry

Values from the calculation:
**M_tot**: 0.0 Bohr magnetons per cell
**Space group**: Fd-3m, No. 227
**Energy above the most stable polymorph in this dataset**: 98 meV/atom
**Final energy**: -23.3 eV/f.u.

Geometry as POSCAR:
```
OsIO2
1.0
6.0778 0.0000 0.0000
0.0000 6.0778 0.0000
3.0389 3.0389 4.3007
I Os O
2 2 4
direct
0.5000 0.5000 0.0000 I
0.2500 0.7500 0.5000 I
0.0000 0.0000 0.0000 Os
0.7500 0.2500 0.5000 Os
0.8744 0.1250 0.2500 O
0.8756 0.6250 0.2500 O
0.3750 0.1256 0.7500 O
0.8750 0.1244 0.7500 O
```

Entry 5:
OsIO2 | PBE | optimized geometry

Values from the calculation:
**M_tot**: 1.5 Bohr magnetons per cell
**Space group**: Fm-3m, No. 225
**Energy above the most stable polymorph in this dataset**: 1454 meV/atom
**Final energy**: -17.9 eV/f.u.

Geometry as POSCAR:
```
OsIO2
1.0
-2.0108 3.0753 2.0265
-0.6047 3.7041 -1.8767
-3.8552 1.1365 -1.2057
I Os O
1 1 2
direct
0.0000 0.0000 0.0000 I
0.5000 0.5000 0.5000 Os
0.2500 0.2500 0.2500 O
0.7500 0.7500 0.7500 O
```

Entry 6:
OsIO2 | PBE | optimized geometry

Values from the calculation:
**M_tot**: 0.0 Bohr magnetons per cell
**Space group**: R-3m, No. 166
**Energy above the most stable polymorph in this dataset**: 0 meV/atom
**Final energy**: -23.7 eV/f.u.

Geometry as POSCAR:
```
OsIO2
1.0
1.8590 0.0000 8.3487
-0.9295 1.6099 8.3487
-0.9295 -1.6099 8.3487
I Os O
1 1 2
direct
0.0000 0.0000 0.0000 I
0.5000 0.5000 0.5000 Os
0.8655 0.8655 0.8655 O
0.1345 0.1345 0.1345 O
```

Entry 7:
OsIO3 | PBE | optimized geometry

Values from the calculation:
**M_tot**: 3.7 Bohr magnetons per cell
**Space group**: Pm-3m, No. 221
**Final energy**: -21.2 eV/f.u.

Geometry as POSCAR:
```
OsIO3
1.0
-0.9337 1.4623 3.7665
2.9745 -2.3675 1.6565
2.7345 3.0746 -0.5158
I Os O
1 1 3
direct
0.0000 0.0000 0.0000 I
0.5000 0.5000 0.5000 Os
0.0000 0.5000 0.0000 O
0.0000 0.0000 0.5000 O
0.5000 0.0000 0.0000 O
```

Entry 8:
Os3IO12 | PBE | optimized geometry

Values from the calculation:
**M_tot**: 2.0 Bohr magnetons per cell
**Space group**: R3c, No. 161
**Final energy**: -108.0 eV/f.u.

Geometry as POSCAR:
```
Os3IO12
1.0
8.5048 0.0000 4.1069
3.2608 7.8549 4.1069
-0.4079 -0.2723 11.7044
Os I O
6 2 24
direct
0.6279 0.3427 0.0030 Os
0.1279 0.5264 0.5030 Os
0.8427 0.1279 0.5030 Os
0.3427 0.0264 0.0030 Os
0.0264 0.6279 0.0030 Os
0.5264 0.8427 0.5030 Os
0.0806 0.0806 0.7582 I
0.5806 0.5806 0.2582 I
0.1301 0.1106 0.0115 O
0.2449 0.3135 0.5105 O
0.8680 0.9516 0.6318 O
0.5649 0.4429 0.8612 O
0.0649 0.6310 0.3612 O
0.3680 0.0486 0.1318 O
0.7449 0.4311 0.0105 O
0.9516 0.5486 0.6318 O
0.6301 0.2478 0.5115 O
0.9311 0.2449 0.5105 O
0.9429 0.0649 0.3612 O
0.2478 0.6106 0.5115 O
0.0486 0.4516 0.1318 O
0.7478 0.1301 0.0115 O
0.4429 0.1310 0.8612 O
0.4311 0.8135 0.0105 O
0.8135 0.7449 0.0105 O
0.4516 0.3680 0.1318 O
0.6106 0.6301 0.5115 O
0.1310 0.5649 0.8612 O
0.6310 0.9429 0.3612 O
0.1106 0.7478 0.0115 O
0.3135 0.9311 0.5105 O
0.5486 0.8680 0.6318 O
```

Entry 9:
Os3IO | PBE | optimized geometry

Values from the calculation:
**M_tot**: 5.7 Bohr magnetons per cell
**Space group**: Pm-3m, No. 221
**Energy above the most stable polymorph in this dataset**: 1757 meV/atom
**Final energy**: -23.3 eV/f.u.

Geometry as POSCAR:
```
Os3IO
1.0
4.8693 0.0000 0.0000
0.0000 4.8693 0.0000
0.0000 0.0000 4.8693
I Os O
1 3 1
direct
0.0000 0.0000 0.0000 I
0.0000 0.5000 0.0000 Os
0.0000 0.0000 0.5000 Os
0.5000 0.0000 0.0000 Os
0.5000 0.5000 0.5000 O
```

Entry 10:
OsI2O2 | PBE | optimized geometry

Values from the calculation:
**M_tot**: 0.0 Bohr magnetons per cell
**Space group**: P4/mmm, No. 123
**Energy above the most stable polymorph in this dataset**: 1239 meV/atom
**Final energy**: -17.2 eV/f.u.

Geometry as POSCAR:
```
OsI2O2
1.0
-1.3146 -4.1575 -2.2022
-1.4385 -1.8218 4.2982
-3.1772 1.2804 -0.5206
I Os O
2 1 2
direct
0.0000 0.5000 0.0000 I
0.5000 0.0000 0.0000 I
0.5000 0.5000 0.5000 Os
0.0000 0.0000 0.0000 O
0.0000 0.0000 0.5000 O
```

Entry 11:
P2OsIO | PBE | optimized geometry

Values from the calculation:
**M_tot**: 1.3 Bohr magnetons per cell
**Space group**: P4/mmm, No. 123
**Energy above the most stable polymorph in this dataset**: 1469 meV/atom
**Final energy**: -20.1 eV/f.u.

Geometry as POSCAR:
```
P2OsIO
1.0
-0.1829 -3.4383 -3.6471
4.7285 -1.3290 1.0158
-1.2438 -2.5444 2.4611
I P Os O
1 2 1 1
direct
0.0000 0.0000 0.0000 I
0.0000 0.5000 0.0000 P
0.5000 0.0000 0.0000 P
0.5000 0.5000 0.5000 Os
0.0000 0.0000 0.5000 O
```

Entry 12:
POsI2O | PBE | optimized geometry

Values from the calculation:
**M_tot**: 0.0 Bohr magnetons per cell
**Space group**: P4/mmm, No. 123
**Energy above the most stable polymorph in this dataset**: 345 meV/atom
**Final energy**: -20.7 eV/f.u.

Geometry as POSCAR:
```
POsI2O
1.0
-0.9175 -3.4178 3.9738
5.2141 -1.0067 0.3380
0.3398 2.5117 2.2388
I P Os O
2 1 1 1
direct
0.0000 0.5000 0.0000 I
0.5000 0.0000 0.0000 I
0.0000 0.0000 0.0000 P
0.5000 0.5000 0.5000 Os
0.0000 0.0000 0.5000 O
```

Entry 13:
POsI2O | PBE | optimized geometry

Values from the calculation:
**M_tot**: 0.0 Bohr magnetons per cell
**Space group**: P4/mmm, No. 123
**Energy above the most stable polymorph in this dataset**: 0 meV/atom
**Final energy**: -22.4 eV/f.u.

Geometry as POSCAR:
```
POsI2O
1.0
5.4928 0.0000 0.0000
0.0000 5.4928 0.0000
0.0000 0.0000 3.7350
I P Os O
2 1 1 1
direct
0.0000 0.5000 0.0000 I
0.5000 0.0000 0.0000 I
0.5000 0.5000 0.5000 P
0.0000 0.0000 0.0000 Os
0.0000 0.0000 0.5000 O
```

Entry 14:
P2OsIO | PBE | optimized geometry

Values from the calculation:
**M_tot**: 0.0 Bohr magnetons per cell
**Space group**: P4/mmm, No. 123
**Energy above the most stable polymorph in this dataset**: 0 meV/atom
**Final energy**: -27.4 eV/f.u.

Geometry as POSCAR:
```
P2OsIO
1.0
4.8517 0.0000 0.0000
0.0000 4.8517 0.0000
0.0000 0.0000 3.7910
I P Os O
1 2 1 1
direct
0.5000 0.5000 0.5000 I
0.0000 0.5000 0.0000 P
0.5000 0.0000 0.0000 P
0.0000 0.0000 0.0000 Os
0.0000 0.0000 0.5000 O
```

Entry 15:
PaOsIO6 | PBE | optimized geometry

Values from the calculation:
**M_tot**: 0.3 Bohr magnetons per cell
**Space group**: Imma, No. 74
**Final energy**: -67.0 eV/f.u.

Geometry as POSCAR:
```
PaOsIO6
1.0
-2.1611 -5.8089 -5.1328
6.6268 -2.8764 0.4651
-3.9520 1.0936 6.7347
Pa Os I O
2 2 2 12
direct
0.5000 0.0000 0.5000 Pa
0.0000 0.0000 0.5000 Pa
0.5000 0.5000 0.0000 Os
0.5000 0.0000 0.0000 Os
0.7999 0.5499 0.5999 I
0.2001 0.4501 0.4001 I
0.4419 0.6919 0.8839 O
0.8045 0.0545 0.6091 O
0.7733 0.0507 0.2198 O
0.4465 0.6691 0.2198 O
0.4465 0.0507 0.2198 O
0.7733 0.6691 0.2198 O
0.5581 0.3081 0.1161 O
0.1955 0.9455 0.3909 O
0.2267 0.9493 0.7802 O
0.5535 0.3309 0.7802 O
0.5535 0.9493 0.7802 O
0.2267 0.3309 0.7802 O
```

Entry 16:
OsPbIO6 | PBE | optimized geometry

Values from the calculation:
**M_tot**: 1.1 Bohr magnetons per cell
**Space group**: P312, No. 149
**Final energy**: -52.5 eV/f.u.

Geometry as POSCAR:
```
OsPbIO6
1.0
5.4823 0.0000 0.0000
2.7412 4.7478 0.0001
0.0001 -0.0002 5.2793
Os Pb I O
1 1 1 6
direct
0.6666 0.6667 0.5000 Os
0.0000 0.0000 0.0000 Pb
0.3333 0.3333 0.5000 I
0.9855 0.3811 0.2938 O
0.3811 0.9855 0.7062 O
0.6334 0.3811 0.7062 O
0.9855 0.6334 0.7062 O
0.3811 0.6333 0.2938 O
0.6333 0.9855 0.2938 O
```

Entry 17:
OsPtIO2 | PBE | optimized geometry

Values from the calculation:
**M_tot**: 1.9 Bohr magnetons per cell
**Space group**: P4/mmm, No. 123
**Energy above the most stable polymorph in this dataset**: 1040 meV/atom
**Final energy**: -24.4 eV/f.u.

Geometry as POSCAR:
```
OsPtIO2
1.0
-3.5642 -0.4429 -1.2136
-0.7030 -2.3228 2.9125
-2.3042 6.2997 4.4680
I Os O Pt
1 1 2 1
direct
0.0000 0.0000 0.5000 I
0.5000 0.5000 0.5000 Os
0.0000 0.5000 0.0000 O
0.5000 0.0000 0.0000 O
0.0000 0.0000 0.0000 Pt
```

Entry 18:
OsPtI2O | PBE | optimized geometry

Values from the calculation:
**M_tot**: 0.0 Bohr magnetons per cell
**Space group**: P4/mmm, No. 123
**Energy above the most stable polymorph in this dataset**: 0 meV/atom
**Final energy**: -23.2 eV/f.u.

Geometry as POSCAR:
```
OsPtI2O
1.0
5.4586 0.0000 0.0000
0.0000 5.4586 0.0000
0.0000 0.0000 3.6968
I Os O Pt
2 1 1 1
direct
0.0000 0.5000 0.0000 I
0.5000 0.0000 0.0000 I
0.0000 0.0000 0.0000 Os
0.0000 0.0000 0.5000 O
0.5000 0.5000 0.5000 Pt
```

Entry 19:
OsPtI2O | PBE | optimized geometry

Values from the calculation:
**M_tot**: 0.0 Bohr magnetons per cell
**Space group**: P4/mmm, No. 123
**Energy above the most stable polymorph in this dataset**: 725 meV/atom
**Final energy**: -19.5 eV/f.u.

Geometry as POSCAR:
```
OsPtI2O
1.0
5.4849 0.0000 0.0000
0.0000 5.4849 0.0000
0.0000 0.0000 3.6990
I Os O Pt
2 1 1 1
direct
0.0000 0.5000 0.0000 I
0.5000 0.0000 0.0000 I
0.5000 0.5000 0.5000 Os
0.0000 0.0000 0.5000 O
0.0000 0.0000 0.0000 Pt
```

Entry 20:
OsPtIO2 | PBE | optimized geometry

Values from the calculation:
**M_tot**: 0.0 Bohr magnetons per cell
**Space group**: P4/mmm, No. 123
**Energy above the most stable polymorph in this dataset**: 0 meV/atom
**Final energy**: -29.6 eV/f.u.

Geometry as POSCAR:
```
OsPtIO2
1.0
-0.0223 -3.7254 0.4005
0.3420 -0.4008 -3.7097
7.7350 0.0301 0.7098
I Os O Pt
1 1 2 1
direct
0.0000 0.0000 0.5000 I
0.0000 0.0000 0.0000 Os
0.0000 0.5000 0.0000 O
0.5000 0.0000 0.0000 O
0.5000 0.5000 0.5000 Pt
```

Entry 21:
Rb2OsI6O | PBE | optimized geometry

Values from the calculation:
**M_tot**: 2.7 Bohr magnetons per cell
**Space group**: I4/mmm, No. 139
**Final energy**: -31.1 eV/f.u.

Geometry as POSCAR:
```
Rb2OsI6O
1.0
8.7310 0.0000 0.0000
0.0000 8.7310 0.0000
4.3655 4.3655 4.9358
I Os O Rb
6 1 1 2
direct
0.2801 0.2801 0.4398 I
0.7199 0.7199 0.5602 I
0.2202 0.2202 0.0000 I
0.7798 0.7798 0.0000 I
0.7798 0.2202 0.0000 I
0.2202 0.7798 0.0000 I
0.0000 0.0000 0.0000 Os
0.5000 0.5000 0.0000 O
0.7500 0.2500 0.5000 Rb
0.2500 0.7500 0.5000 Rb
```

Entry 22:
OsRhIO2 | PBE | optimized geometry

Values from the calculation:
**M_tot**: 0.0 Bohr magnetons per cell
**Space group**: P4/mmm, No. 123
**Energy above the most stable polymorph in this dataset**: 0 meV/atom
**Final energy**: -30.7 eV/f.u.

Geometry as POSCAR:
```
OsRhIO2
1.0
-2.8340 2.2870 -0.7609
-2.2992 -2.9176 -0.2058
-1.5643 0.6781 7.8643
I Rh Os O
1 1 1 2
direct
0.0000 0.0000 0.5000 I
0.5000 0.5000 0.5000 Rh
0.0000 0.0000 0.0000 Os
0.0000 0.5000 0.0000 O
0.5000 0.0000 0.0000 O
```

Entry 23:
OsRhIO2 | PBE | optimized geometry

Values from the calculation:
**M_tot**: 1.0 Bohr magnetons per cell
**Space group**: P4/mmm, No. 123
**Energy above the most stable polymorph in this dataset**: 871 meV/atom
**Final energy**: -26.3 eV/f.u.

Geometry as POSCAR:
```
OsRhIO2
1.0
3.7718 0.0000 0.0000
0.0000 3.7718 0.0000
0.0000 0.0000 7.3124
I Rh Os O
1 1 1 2
direct
0.0000 0.0000 0.5000 I
0.0000 0.0000 0.0000 Rh
0.5000 0.5000 0.5000 Os
0.0000 0.5000 0.0000 O
0.5000 0.0000 0.0000 O
```

Entry 24:
OsRuI2O | PBE | optimized geometry

Values from the calculation:
**M_tot**: 2.6 Bohr magnetons per cell
**Space group**: P4/mmm, No. 123
**Energy above the most stable polymorph in this dataset**: 0 meV/atom
**Final energy**: -25.1 eV/f.u.

Geometry as POSCAR:
```
OsRuI2O
1.0
5.5464 0.0000 0.0000
0.0000 5.5464 0.0000
0.0000 0.0000 3.7032
I Ru Os O
2 1 1 1
direct
0.0000 0.5000 0.0000 I
0.5000 0.0000 0.0000 I
0.5000 0.5000 0.5000 Ru
0.0000 0.0000 0.0000 Os
0.0000 0.0000 0.5000 O
```

Entry 25:
OsRuI2O | PBE | optimized geometry

Values from the calculation:
**M_tot**: 0.5 Bohr magnetons per cell
**Space group**: P4/mmm, No. 123
**Energy above the most stable polymorph in this dataset**: 230 meV/atom
**Final energy**: -24.0 eV/f.u.

Geometry as POSCAR:
```
OsRuI2O
1.0
-5.2319 -0.1558 1.1256
-0.8529 -2.9658 -4.3750
0.5087 -3.0180 1.9468
I Ru Os O
2 1 1 1
direct
0.0000 0.5000 0.0000 I
0.5000 0.0000 0.0000 I
0.0000 0.0000 0.0000 Ru
0.5000 0.5000 0.5000 Os
0.0000 0.0000 0.5000 O
```

Entry 26:
OsSI2O | PBE | optimized geometry

Values from the calculation:
**M_tot**: 0.5 Bohr magnetons per cell
**Space group**: P4/mmm, No. 123
**Energy above the most stable polymorph in this dataset**: 0 meV/atom
**Final energy**: -21.6 eV/f.u.

Geometry as POSCAR:
```
OsSI2O
1.0
5.5083 0.0000 0.0000
0.0000 5.5083 0.0000
0.0000 0.0000 3.7345
I S Os O
2 1 1 1
direct
0.0000 0.5000 0.0000 I
0.5000 0.0000 0.0000 I
0.5000 0.5000 0.5000 S
0.0000 0.0000 0.0000 Os
0.0000 0.0000 0.5000 O
```

Number 1: formation energy (no corrections) -0.090 eV/atom. Number 2: formation energy (no corrections) 0.989 eV/atom. Number 3: formation energy (no corrections) 0.751 eV/atom. Number 4: formation energy (no corrections) -0.160 eV/atom. Number 5: formation energy (no corrections) 1.196 eV/atom. Number 6: formation energy (no corrections) -0.258 eV/atom. Number 7: formation energy (no corrections) 1.288 eV/atom. Number 8: formation energy (no corrections) -0.827 eV/atom. Number 9: formation energy (no corrections) 3.378 eV/atom. Number 10: formation energy (no corrections) 1.409 eV/atom. Number 11: formation energy (no corrections) 1.691 eV/atom. Number 12: formation energy (no corrections) 0.808 eV/atom. Number 13: formation energy (no corrections) 0.463 eV/atom. Number 14: formation energy (no corrections) 0.222 eV/atom. Number 15: formation energy (no corrections) -1.667 eV/atom. Number 16: formation energy (no corrections) -0.692 eV/atom. Number 17: formation energy (no corrections) 0.867 eV/atom. Number 18: formation energy (no corrections) 0.433 eV/atom. Number 19: formation energy (no corrections) 1.158 eV/atom. Number 20: formation energy (no corrections) -0.173 eV/atom. Number 21: formation energy (no corrections) -0.364 eV/atom. Number 22: formation energy (no corrections) -0.125 eV/atom. Number 23: formation energy (no corrections) 0.746 eV/atom. Number 24: formation energy (no corrections) 0.687 eV/atom. Number 25: formation energy (no corrections) 0.917 eV/atom. Number 26: formation energy (no corrections) 0.355 eV/atom.